1.
CrHg2W: optimized geometry, GGA-PBEsol.

Cell: 4.058 4.058 4.987 Å, 114.01 114.01 90.00°
Site moments in Bohr magnetons follow the coordinates.
Positions (direct):
Cr 0.250 0.750 0.500  2.35
Hg 0.000 0.000 0.000  0.00
Hg 0.750 0.250 0.500  -0.02
W 0.500 0.500 0.000  -0.69

Calculated values
ρ (g/cm3): 15.75
SG: I-4m2, No. 119
Crystal system: tetragonal

2.
CrHg2W: optimized geometry, GGA-PBEsol.

Cell: 2.895 2.978 8.107 Å, 90.00 89.62 90.00°
Positions (direct):
Cr 0.426 0.500 0.722
Hg 0.955 0.000 0.966
Hg 0.540 0.500 0.269
W 0.080 0.000 0.543

Calculated values
ρ (g/cm3): 15.13
SG: Pm, No. 6
Crystal system: monoclinic

3.
CrHgW: optimized geometry, GGA-PBEsol.

Cell: 2.804 2.804 6.474 Å, 102.50 102.50 90.00°
Site moments in Bohr magnetons follow the coordinates.
Positions (direct):
Cr 0.991 0.991 0.983  2.50
Hg 0.663 0.663 0.325  0.01
W 0.346 0.346 0.692  0.01

Calculated values
ρ (g/cm3): 14.96
SG: I4mm, No. 107
Crystal system: tetragonal

4.
CrHg2W: optimized geometry, GGA-PBEsol.

Cell: 2.869 2.869 8.362 Å, 90.00 90.00 90.03°
Site moments in Bohr magnetons follow the coordinates.
Positions (direct):
Cr 0.500 0.500 0.000  3.36
Hg 0.000 0.000 0.240  -0.03
Hg 0.000 0.000 0.760  -0.03
W 0.500 0.500 0.500  -0.17

Calculated values
ρ (g/cm3): 15.37
SG: P4/mmm, No. 123
Crystal system: tetragonal

5.
CrHg2W: optimized geometry, GGA-PBEsol.

Cell: 3.011 3.011 9.200 Å, 80.58 80.58 60.00°
Positions (direct):
Cr 0.240 0.240 0.280
Hg 0.991 0.991 0.027
Hg 0.755 0.755 0.734
W 0.514 0.514 0.459

Calculated values
ρ (g/cm3): 14.92
SG: R3m, No. 160
Crystal system: trigonal

6.
CrHg2W: optimized geometry, GGA-PBEsol.

Cell: 4.007 4.007 5.069 Å, 113.28 113.28 90.00°
Site moments in Bohr magnetons follow the coordinates.
Positions (direct):
Cr 0.000 0.000 0.000  2.56
Hg 0.750 0.250 0.500  -0.05
Hg 0.250 0.750 0.500  -0.05
W 0.500 0.500 0.000  -1.10

Calculated values
ρ (g/cm3): 15.67
SG: I4/mmm, No. 139
Crystal system: tetragonal

no.,calculated formation energy (kJ/mol of atoms)
1,77.34
2,44.05
3,61.96
4,70.17
5,44.16
6,72.59